Here is a geometry-optimized LaThAs structure from Alexandria. Energies are from PBE.

It has space group P3m1 (No. 156), with a = 4.0720 Å, b = 4.0720 Å, c = 6.8433 Å, α = 90.00°, β = 90.00° and γ = 120.00°. The asymmetric unit holds La at (0.0000, 0.0000, 0.0000), Th at (0.6667, 0.3333, 0.4643) and As at (0.3333, 0.6667, 0.7267).

For the total moment, the calculation gives 0.02 μB/atom. As for the formation enthalpy at 0 K: -742 meV/atom. As for the volume: 32.756 A^3/atom.

Here is a geometry-optimized La3ThAs4 structure from Alexandria. Energies are from PBE.

It has space group Cmmm (No. 65), with a = 8.687 Å, b = 12.270 Å, c = 4.337 Å, α = 90.00°, β = 90.00° and γ = 90.00°. The asymmetric unit holds La at (0.000, 0.000, 0.000), La at (0.250, 0.250, 0.500), Th at (0.000, 0.500, 0.000), As at (0.000, 0.254, 0.000) and As at (0.243, 0.500, 0.500).

For the total moment, the calculation gives 0.00 μB/atom. As for the formation enthalpy at 0 K: -1557 meV/atom. As for the volume: 28.894 A^3/atom.

Here is a geometry-optimized La2ThAs3 structure from Alexandria. Energies are from PBE.

It has space group Immm (No. 71), with a = 4.328 Å, b = 6.121 Å, c = 12.989 Å, α = 90.00°, β = 90.00° and γ = 90.00°. The asymmetric unit holds La at (0.000, 0.000, 0.168), Th at (0.000, 0.000, 0.500), As at (0.000, 0.500, 0.161) and As at (0.000, 0.500, 0.500).

For the total moment, the calculation gives 0.00 μB/atom. As for the formation enthalpy at 0 K: -1540 meV/atom. As for the volume: 28.678 A^3/atom. The energy above the lowest structure with this stoichiometry comes out at 5 meV/atom.

Values for calculated total energy, eV/atom, ordered as above
-6.407 -6.657 -6.744